1.
CuPCCl2 | PBE | relaxed Values from VASP.

Cell and atoms, written as Quantum ESPRESSO input:
```
&SYSTEM
  ibrav = 0, nat = 5, ntyp = 4
/
ATOMIC_SPECIES
Cu 63.55 Cu.upf
P 30.97 P.upf
C 12.01 C.upf
Cl 35.45 Cl.upf
CELL_PARAMETERS angstrom
5.1699 0.0000 0.0000
0.0000 5.1699 0.0000
0.0000 0.0000 3.4381
ATOMIC_POSITIONS crystal
Cu 0.0000 0.0000 0.0000
P 0.5000 0.5000 0.0000
C 0.5000 0.5000 0.5000
Cl 0.0000 0.5000 0.5000
Cl 0.5000 0.0000 0.5000
```


2.
CuPCCl2 | PBE | relaxed Values from VASP.

Cell and atoms, written as Quantum ESPRESSO input:
```
&SYSTEM
  ibrav = 0, nat = 5, ntyp = 4
/
ATOMIC_SPECIES
Cu 63.55 Cu.upf
P 30.97 P.upf
C 12.01 C.upf
Cl 35.45 Cl.upf
CELL_PARAMETERS angstrom
4.6137 0.0000 0.0000
0.0000 4.6137 0.0000
0.0000 0.0000 4.6528
ATOMIC_POSITIONS crystal
Cu 0.0000 0.0000 0.0000
P 0.0000 0.0000 0.5000
C 0.5000 0.5000 0.5000
Cl 0.0000 0.5000 0.0000
Cl 0.5000 0.0000 0.0000
```


3.
RbCuCCl2 | PBE | relaxed Values from VASP.

Cell and atoms, written as Quantum ESPRESSO input:
```
&SYSTEM
  ibrav = 0, nat = 5, ntyp = 4
/
ATOMIC_SPECIES
Rb 85.47 Rb.upf
Cu 63.55 Cu.upf
C 12.01 C.upf
Cl 35.45 Cl.upf
CELL_PARAMETERS angstrom
5.9843 0.0000 0.0000
0.0000 5.9843 0.0000
0.0000 0.0000 5.7645
ATOMIC_POSITIONS crystal
Rb 0.0000 0.0000 0.0000
Cu 0.0000 0.0000 0.5000
C 0.5000 0.5000 0.5000
Cl 0.0000 0.5000 0.0000
Cl 0.5000 0.0000 0.0000
```


4.
RbCuCCl2 | PBE | relaxed Values from VASP.

Cell and atoms, written as Quantum ESPRESSO input:
```
&SYSTEM
  ibrav = 0, nat = 5, ntyp = 4
/
ATOMIC_SPECIES
Rb 85.47 Rb.upf
Cu 63.55 Cu.upf
C 12.01 C.upf
Cl 35.45 Cl.upf
CELL_PARAMETERS angstrom
5.4066 0.0000 0.0000
0.0000 5.4066 0.0000
0.0000 0.0000 3.7150
ATOMIC_POSITIONS crystal
Rb 0.0000 0.0000 0.0000
Cu 0.5000 0.5000 0.5000
C 0.5000 0.5000 0.0000
Cl 0.0000 0.5000 0.5000
Cl 0.5000 0.0000 0.5000
```


5.
TlCuCCl | PBE | relaxed Values from VASP.

Cell and atoms, written as Quantum ESPRESSO input:
```
&SYSTEM
  ibrav = 0, nat = 4, ntyp = 4
/
ATOMIC_SPECIES
Tl 204.38 Tl.upf
Cu 63.55 Cu.upf
C 12.01 C.upf
Cl 35.45 Cl.upf
CELL_PARAMETERS angstrom
3.4312 -1.8296 0.0000
3.4312 1.8296 0.0000
-1.2105 0.0000 6.8606
ATOMIC_POSITIONS crystal
Tl 0.0000 0.0000 0.0000
Cu 0.3734 0.3734 0.3527
C 0.3322 0.3322 0.0799
Cl 0.8900 0.8900 0.5512
```


6.
TlCuC2Cl | PBE | relaxed Values from VASP.

Cell and atoms, written as Quantum ESPRESSO input:
```
&SYSTEM
  ibrav = 0, nat = 5, ntyp = 4
/
ATOMIC_SPECIES
Tl 204.38 Tl.upf
Cu 63.55 Cu.upf
C 12.01 C.upf
Cl 35.45 Cl.upf
CELL_PARAMETERS angstrom
4.2563 0.0000 0.0000
0.0000 4.2563 0.0000
0.0000 0.0000 5.8834
ATOMIC_POSITIONS crystal
Tl 0.0000 0.0000 0.0000
Cu 0.0000 0.0000 0.5000
C 0.0000 0.5000 0.0000
C 0.5000 0.0000 0.0000
Cl 0.5000 0.5000 0.5000
```


7.
TlCuCCl | PBE | relaxed Values from VASP.

Cell and atoms, written as Quantum ESPRESSO input:
```
&SYSTEM
  ibrav = 0, nat = 4, ntyp = 4
/
ATOMIC_SPECIES
Tl 204.38 Tl.upf
Cu 63.55 Cu.upf
C 12.01 C.upf
Cl 35.45 Cl.upf
CELL_PARAMETERS angstrom
4.2700 0.0000 0.0000
0.0000 4.0001 0.0000
-1.6291 0.0000 5.0182
ATOMIC_POSITIONS crystal
Tl 0.0000 0.0000 0.0000
Cu 0.4934 0.5000 0.2100
C 0.6895 0.5000 0.9380
Cl 0.3513 0.5000 0.5873
```


8.
TlCuCCl | PBE | relaxed Values from VASP.

Cell and atoms, written as Quantum ESPRESSO input:
```
&SYSTEM
  ibrav = 0, nat = 4, ntyp = 4
/
ATOMIC_SPECIES
Tl 204.38 Tl.upf
Cu 63.55 Cu.upf
C 12.01 C.upf
Cl 35.45 Cl.upf
CELL_PARAMETERS angstrom
5.5381 -1.8892 0.0000
5.5381 1.8892 0.0000
-2.2767 0.0000 4.6228
ATOMIC_POSITIONS crystal
Tl 0.0000 0.0000 0.0000
Cu 0.5109 0.5109 0.5111
C 0.0323 0.0323 0.5308
Cl 0.2316 0.2316 0.7145
```


9.
TlCuCCl | PBE | relaxed Values from VASP.

Cell and atoms, written as Quantum ESPRESSO input:
```
&SYSTEM
  ibrav = 0, nat = 4, ntyp = 4
/
ATOMIC_SPECIES
Tl 204.38 Tl.upf
Cu 63.55 Cu.upf
C 12.01 C.upf
Cl 35.45 Cl.upf
CELL_PARAMETERS angstrom
3.7209 0.0000 0.0000
0.0000 4.3558 0.0000
-1.8087 0.0000 5.9156
ATOMIC_POSITIONS crystal
Tl 0.0000 0.0000 0.0000
Cu 0.6133 0.5000 0.2273
C 0.1363 0.5000 0.2745
Cl 0.2885 0.5000 0.5881
```


10.
TlCuCCl | PBE | relaxed Values from VASP.

Cell and atoms, written as Quantum ESPRESSO input:
```
&SYSTEM
  ibrav = 0, nat = 4, ntyp = 4
/
ATOMIC_SPECIES
Tl 204.38 Tl.upf
Cu 63.55 Cu.upf
C 12.01 C.upf
Cl 35.45 Cl.upf
CELL_PARAMETERS angstrom
3.4276 0.0000 0.0000
0.0000 4.0273 0.0000
0.0000 0.0000 5.8451
ATOMIC_POSITIONS crystal
Tl 0.0000 0.0000 0.0000
Cu 0.5000 0.5000 0.3257
C 0.0000 0.5000 0.1623
Cl 0.5000 0.0000 0.5842
```


11.
VCu2CCl | PBE | relaxed Values from VASP.

Cell and atoms, written as Quantum ESPRESSO input:
```
&SYSTEM
  ibrav = 0, nat = 5, ntyp = 4
/
ATOMIC_SPECIES
V 50.94 V.upf
Cu 63.55 Cu.upf
C 12.01 C.upf
Cl 35.45 Cl.upf
CELL_PARAMETERS angstrom
3.9382 0.0000 0.0000
0.0000 3.9382 0.0000
0.0000 0.0000 4.2703
ATOMIC_POSITIONS crystal
V 0.0000 0.0000 0.0000
Cu 0.0000 0.5000 0.5000
Cu 0.5000 0.0000 0.5000
C 0.0000 0.0000 0.5000
Cl 0.5000 0.5000 0.0000
```


12.
Dy6C3Cl2 | PBE | relaxed Values from VASP.

Cell and atoms, written as Quantum ESPRESSO input:
```
&SYSTEM
  ibrav = 0, nat = 11, ntyp = 3
/
ATOMIC_SPECIES
Dy 162.50 Dy.upf
C 12.01 C.upf
Cl 35.45 Cl.upf
CELL_PARAMETERS angstrom
3.1767 -5.4979 0.0000
3.1767 5.4979 0.0000
-2.1199 0.0000 6.4458
ATOMIC_POSITIONS crystal
Dy 0.0996 0.4271 0.7988
Dy 0.2285 0.2285 0.2027
Dy 0.4271 0.0996 0.7988
Dy 0.5729 0.9004 0.2012
Dy 0.7715 0.7715 0.7973
Dy 0.9004 0.5729 0.2012
C 0.1682 0.8318 0.0000
C 0.5000 0.5000 0.0000
C 0.8318 0.1682 0.0000
Cl 0.3332 0.6668 0.5000
Cl 0.6668 0.3332 0.5000
```


13.
Dy4C2Cl3 | PBE | relaxed Values from VASP.

Cell and atoms, written as Quantum ESPRESSO input:
```
&SYSTEM
  ibrav = 0, nat = 9, ntyp = 3
/
ATOMIC_SPECIES
Dy 162.50 Dy.upf
C 12.01 C.upf
Cl 35.45 Cl.upf
CELL_PARAMETERS angstrom
6.9255 -1.7513 0.0000
6.9255 1.7513 0.0000
-1.5414 0.0000 8.0680
ATOMIC_POSITIONS crystal
Dy 0.0967 0.0967 0.2001
Dy 0.3209 0.3209 0.3961
Dy 0.6791 0.6791 0.6039
Dy 0.9033 0.9033 0.7999
C 0.3018 0.3018 0.6767
C 0.6982 0.6982 0.3233
Cl 0.0000 0.0000 0.5000
Cl 0.4170 0.4170 0.1095
Cl 0.5830 0.5830 0.8905
```


14.
Dy3CCl3 | PBE | relaxed Values from VASP.

Cell and atoms, written as Quantum ESPRESSO input:
```
&SYSTEM
  ibrav = 0, nat = 14, ntyp = 3
/
ATOMIC_SPECIES
Dy 162.50 Dy.upf
C 12.01 C.upf
Cl 35.45 Cl.upf
CELL_PARAMETERS angstrom
7.9327 0.0000 0.0000
0.0000 3.7032 0.0000
-0.5194 0.0000 10.7853
ATOMIC_POSITIONS crystal
Dy 0.0904 0.2500 0.3907
Dy 0.1256 0.2500 0.8410
Dy 0.3224 0.7500 0.6243
Dy 0.6776 0.2500 0.3757
Dy 0.8744 0.7500 0.1590
Dy 0.9096 0.7500 0.6093
C 0.1266 0.2500 0.6229
C 0.8734 0.7500 0.3771
Cl 0.1258 0.2500 0.1231
Cl 0.3758 0.7500 0.8757
Cl 0.3785 0.7500 0.3719
Cl 0.6215 0.2500 0.6281
Cl 0.6242 0.2500 0.1243
Cl 0.8742 0.7500 0.8769
```


15.
Dy2CCl3 | PBE | relaxed Values from VASP.

Cell and atoms, written as Quantum ESPRESSO input:
```
&SYSTEM
  ibrav = 0, nat = 12, ntyp = 3
/
ATOMIC_SPECIES
Dy 162.50 Dy.upf
C 12.01 C.upf
Cl 35.45 Cl.upf
CELL_PARAMETERS angstrom
8.5398 -1.9636 0.0000
8.5398 1.9636 0.0000
-6.2067 0.0000 8.4205
ATOMIC_POSITIONS crystal
Dy 0.0968 0.0968 0.4210
Dy 0.3758 0.3758 0.2400
Dy 0.6242 0.6242 0.7600
Dy 0.9032 0.9032 0.5790
C 0.0383 0.0383 0.5909
C 0.9617 0.9617 0.4091
Cl 0.1671 0.1671 0.9899
Cl 0.2753 0.2753 0.3786
Cl 0.4618 0.4618 0.7915
Cl 0.5382 0.5382 0.2085
Cl 0.7247 0.7247 0.6214
Cl 0.8329 0.8329 0.0101
```


16.
Dy3C2Cl | PBE | relaxed Values from VASP.

Cell and atoms, written as Quantum ESPRESSO input:
```
&SYSTEM
  ibrav = 0, nat = 12, ntyp = 3
/
ATOMIC_SPECIES
Dy 162.50 Dy.upf
C 12.01 C.upf
Cl 35.45 Cl.upf
CELL_PARAMETERS angstrom
6.3172 -1.8285 0.0000
6.3172 1.8285 0.0000
-4.6125 0.0000 9.5749
ATOMIC_POSITIONS crystal
Dy 0.0248 0.0248 0.2738
Dy 0.3355 0.3355 0.4308
Dy 0.3593 0.3593 0.9041
Dy 0.6407 0.6407 0.0959
Dy 0.6645 0.6645 0.5692
Dy 0.9752 0.9752 0.7262
C 0.0000 0.0000 0.0000
C 0.0000 0.0000 0.5000
C 0.3347 0.3347 0.6677
C 0.6653 0.6653 0.3323
Cl 0.3291 0.3291 0.1573
Cl 0.6709 0.6709 0.8427
```


17.
Dy3HgCCl | PBE | relaxed Values from VASP.

Cell and atoms, written as Quantum ESPRESSO input:
```
&SYSTEM
  ibrav = 0, nat = 12, ntyp = 4
/
ATOMIC_SPECIES
Dy 162.50 Dy.upf
Hg 200.59 Hg.upf
C 12.01 C.upf
Cl 35.45 Cl.upf
CELL_PARAMETERS angstrom
8.8384 0.0000 0.0000
0.0000 3.6831 0.0000
-0.6043 0.0000 8.8486
ATOMIC_POSITIONS crystal
Dy 0.0840 0.2500 0.3474
Dy 0.3541 0.7500 0.5577
Dy 0.3844 0.7500 0.1774
Dy 0.6156 0.2500 0.8226
Dy 0.6459 0.2500 0.4423
Dy 0.9160 0.7500 0.6526
Hg 0.2699 0.2500 0.8293
Hg 0.7301 0.7500 0.1707
C 0.3625 0.2500 0.3595
C 0.6375 0.7500 0.6405
Cl 0.0866 0.7500 0.1216
Cl 0.9134 0.2500 0.8784
```


18.
DyHoCCl | PBE | relaxed Values from VASP.

Cell and atoms, written as Quantum ESPRESSO input:
```
&SYSTEM
  ibrav = 0, nat = 4, ntyp = 4
/
ATOMIC_SPECIES
Dy 162.50 Dy.upf
Ho 164.93 Ho.upf
C 12.01 C.upf
Cl 35.45 Cl.upf
CELL_PARAMETERS angstrom
1.8098 1.0449 6.8660
-1.8098 1.0449 6.8660
0.0000 -2.0897 6.8660
ATOMIC_POSITIONS crystal
Dy 0.0000 0.0000 0.0000
Ho 0.7914 0.7914 0.7914
C 0.3981 0.3981 0.3981
Cl 0.2273 0.2273 0.2273
```


19.
La2DyC2Cl2 | PBE | relaxed Values from VASP.

Cell and atoms, written as Quantum ESPRESSO input:
```
&SYSTEM
  ibrav = 0, nat = 7, ntyp = 4
/
ATOMIC_SPECIES
La 138.91 La.upf
Dy 162.50 Dy.upf
C 12.01 C.upf
Cl 35.45 Cl.upf
CELL_PARAMETERS angstrom
-2.2954 2.2954 7.4478
2.2954 -2.2954 7.4478
2.2954 2.2954 -7.4478
ATOMIC_POSITIONS crystal
La 0.1050 0.1050 0.0000
La 0.8950 0.8950 0.0000
Dy 0.5000 0.5000 0.0000
C 0.0000 0.5000 0.5000
C 0.5000 0.0000 0.5000
Cl 0.3092 0.3092 0.0000
Cl 0.6908 0.6908 0.0000
```


20.
LaDyCCl | PBE | relaxed Values from VASP.

Cell and atoms, written as Quantum ESPRESSO input:
```
&SYSTEM
  ibrav = 0, nat = 4, ntyp = 4
/
ATOMIC_SPECIES
La 138.91 La.upf
Dy 162.50 Dy.upf
C 12.01 C.upf
Cl 35.45 Cl.upf
CELL_PARAMETERS angstrom
1.8517 1.0691 7.2391
-1.8517 1.0691 7.2391
0.0000 -2.1382 7.2391
ATOMIC_POSITIONS crystal
La 0.0000 0.0000 0.0000
Dy 0.7928 0.7928 0.7928
C 0.4029 0.4029 0.4029
Cl 0.2198 0.2198 0.2198
```


| no. | ΔE_f (raw) (eV/atom) | D(E_F) (states/eV/atom) | VASP energy (eV/atom) |
| --- | --- | --- | --- |
| 1 | 1.16 | 0.9272 | -3.32 |
| 2 | 1.66 | 1.0501 | -2.83 |
| 3 | 1.64 | 3.0604 | -1.95 |
| 4 | 0.10 | 0.4069 | -3.50 |
| 5 | 0.65 | 0.5270 | -3.73 |
| 6 | 2.59 | 0.8349 | -2.76 |
| 7 | 0.83 | 0.3844 | -3.55 |
| 8 | 0.66 | 0.2864 | -3.73 |
| 9 | 0.63 | 0.4335 | -3.75 |
| 10 | 0.62 | 0.4890 | -3.76 |
| 11 | 0.30 | 0.2488 | -5.38 |
| 12 | -0.88 | 0.3616 | -6.24 |
| 13 | -1.14 | 0.1568 | -5.85 |
| 14 | -1.54 | 0.1917 | -5.62 |
| 15 | -1.58 | 0.0275 | -5.57 |
| 16 | -0.81 | 0.1096 | -6.49 |
| 17 | -0.67 | 0.6693 | -4.86 |
| 18 | -1.09 | 0.4463 | -6.15 |
| 19 | -0.89 | 0.1528 | -6.12 |
| 20 | -1.06 | 0.5578 | -6.21 |